1.
VASP calculation (GGA-PBE) on an optimized crystal structure of Na2TaTl3S6.

The density of states at the Fermi level is 3.4 states/eV/f.u. As for the crystal system: monoclinic. The mass density comes out at 5.94 g cm⁻³. The calculation puts the uncorrected formation energy at -0.676 eV per atom.

The structure belongs to space group C2/m (No. 12); the cell edges are 7.060, 12.337 and 7.063 Å and the angles 90.00°, 110.21° and 90.00°. The asymmetric unit holds Na at (0.000, 0.167, 0.000), Ta at (0.000, 0.500, 0.000), Tl at (0.000, 0.000, 0.500), Tl at (0.000, 0.340, 0.500), S at (0.216, 0.357, 0.212) and S at (0.219, 0.500, 0.790).

=====

2.
VASP calculation (GGA-PBE) on an optimized crystal structure of HIrCl3.

The density of states at the Fermi level is 3.6 states/eV/f.u. As for the crystal system: cubic. The mass density comes out at 6.16 g cm⁻³. As for the total energy: -2.38 eV per atom.

The structure belongs to space group Pm-3m (No. 221); the cell edges are 4.323, 4.323 and 4.323 Å and the angles 90.00°, 90.00° and 90.00°. The asymmetric unit holds H at (0.000, 0.000, 0.000), Ir at (0.500, 0.500, 0.500) and Cl at (0.000, 0.000, 0.500).

=====

3.
VASP calculation (GGA-PBE) on an optimized crystal structure of La2Y2ErMg5.

The density of states at the Fermi level is 7.3 states/eV/f.u. As for the crystal system: tetragonal. The mass density comes out at 4.26 g cm⁻³. As for the total energy: -3.52 eV per atom.

The structure belongs to space group P4/mbm (No. 127); the cell edges are 10.681, 10.681 and 5.093 Å and the angles 90.00°, 90.00° and 90.00°. The asymmetric unit holds La at (0.176, 0.324, 0.000), Y at (0.122, 0.622, 0.000), Er at (0.000, 0.000, 0.000), Mg at (0.000, 0.500, 0.500) and Mg at (0.070, 0.803, 0.500).

=====

4.
VASP calculation (GGA-PBE) on an optimized crystal structure of Ac2Y2Cd15.

The density of states at the Fermi level is 12.5 states/eV/f.u. As for the crystal system: trigonal. The mass density comes out at 7.94 g cm⁻³. As for the total energy: -2.02 eV per atom.

The structure belongs to space group R-3m (No. 166, hexagonal axes); the cell edges are 10.2800, 10.2800 and 15.8986 Å and the angles 90.00°, 90.00° and 120.00°. The asymmetric unit holds Ac at (0.0000, 0.0000, 0.1628), Y at (0.0000, 0.0000, 0.4003), Cd at (0.0000, 0.2899, 0.5000), Cd at (0.0000, 0.5000, 0.0000) and Cd at (0.0090, 0.5045, 0.6408).

=====

5.
VASP calculation (GGA-PBE) on an optimized crystal structure of InW3S.

The density of states at the Fermi level is 7.9 states/eV/f.u. As for the crystal system: cubic. The mass density comes out at 9.77 g cm⁻³. For the energy relative to the lowest polymorph listed for this composition, the calculation gives 2.446 eV per atom. The calculation puts the uncorrected formation energy at 3.273 eV per atom.

The structure belongs to space group Pm-3m (No. 221); the cell edges are 4.914, 4.914 and 4.914 Å and the angles 90.00°, 90.00° and 90.00°. The asymmetric unit holds In at (0.000, 0.000, 0.000), W at (0.000, 0.000, 0.500) and S at (0.500, 0.500, 0.500).

=====

6.
VASP calculation (GGA-PBE) on an optimized crystal structure of DyPdRh.

The density of states at the Fermi level is 2.5 states/eV/f.u. As for the crystal system: tetragonal. The mass density comes out at 11.07 g cm⁻³. For the energy relative to the lowest polymorph listed for this composition, the calculation gives 0.062 eV per atom.

The structure belongs to space group I4mm (No. 107); the cell edges are 3.478, 3.478 and 9.222 Å and the angles 90.00°, 90.00° and 90.00°. The asymmetric unit holds Dy at (0.000, 0.000, 0.000), Pd at (0.000, 0.000, 0.327) and Rh at (0.000, 0.000, 0.661).

=====

7.
VASP calculation (GGA-PBE) on an optimized crystal structure of Cr2Ni5Rh5.

The density of states at the Fermi level is 16.9 states/eV/f.u. As for the crystal system: monoclinic. The mass density comes out at 10.09 g cm⁻³. As for the total energy: -7.09 eV per atom.

The structure belongs to space group C2/m (No. 12); the cell edges are 11.191, 3.654 and 8.264 Å and the angles 90.00°, 117.29° and 90.00°. The asymmetric unit holds Cr at (0.163, 0.000, 0.495), Ni at (0.000, 0.500, 0.500), Ni at (0.087, 0.500, 0.257), Ni at (0.164, 0.500, 0.997), Rh at (0.000, 0.000, 0.000), Rh at (0.079, 0.000, 0.744) and Rh at (0.249, 0.500, 0.739).